No. 1
10
Lattice="4.0445 0.0000 0.0000 0.0000 4.0445 0.0000 0.0000 0.0000 9.9051" Properties=species:S:1:pos:R:3 comment="Ho2FeP3Ir4, optimized geometry, DFT PBE" formation_energy_ev_per_atom=-0.888 space_group="No. 115" vol_a3_per_cell=162 e_tot_ev_per_cell=-78.2 pbc="T T T"
Ho 0.0000 2.0222 2.4495
Ho 2.0222 0.0000 7.4556
Fe 2.0222 2.0222 0.0000
P 0.0000 0.0000 0.0000
P 0.0000 2.0222 6.3233
P 2.0222 0.0000 3.5817
Ir 0.0000 0.0000 4.9525
Ir 0.0000 2.0222 8.5987
Ir 2.0222 0.0000 1.3063
Ir 2.0222 2.0222 4.9525

=====

No. 2
16
Lattice="4.7633 0.0000 0.0000 0.0000 9.3856 0.0000 0.0000 0.0000 12.7608" Properties=species:S:1:pos:R:3 comment="CsIn2Pb5, optimized geometry, DFT PBE" formation_energy_ev_per_atom=-0.045 space_group="No. 71" vol_a3_per_cell=570 e_tot_ev_per_cell=-50.5 pbc="T T T"
Cs 0.0000 0.0000 0.0000
Cs 2.3817 4.6928 6.3804
In 0.0000 4.6928 3.2538
In 0.0000 4.6928 9.5069
In 2.3817 0.0000 3.1266
In 2.3817 0.0000 9.6342
Pb 0.0000 1.7659 4.5186
Pb 0.0000 1.7659 8.2422
Pb 0.0000 4.6928 0.0000
Pb 0.0000 7.6197 4.5186
Pb 0.0000 7.6197 8.2422
Pb 2.3817 0.0000 6.3804
Pb 2.3817 2.9269 1.8618
Pb 2.3817 2.9269 10.8989
Pb 2.3817 6.4586 1.8618
Pb 2.3817 6.4586 10.8989

=====

Please write out number 1 again, unchanged.
10
Lattice="4.0445 0.0000 0.0000 0.0000 4.0445 0.0000 0.0000 0.0000 9.9051" Properties=species:S:1:pos:R:3 comment="Ho2FeP3Ir4, optimized geometry, DFT PBE" formation_energy_ev_per_atom=-0.888 space_group="No. 115" vol_a3_per_cell=162 e_tot_ev_per_cell=-78.2 pbc="T T T"
Ho 0.0000 2.0222 2.4495
Ho 2.0222 0.0000 7.4556
Fe 2.0222 2.0222 0.0000
P 0.0000 0.0000 0.0000
P 0.0000 2.0222 6.3233
P 2.0222 0.0000 3.5817
Ir 0.0000 0.0000 4.9525
Ir 0.0000 2.0222 8.5987
Ir 2.0222 0.0000 1.3063
Ir 2.0222 2.0222 4.9525